This record from Alexandria describes a geometry-optimized Er3Si2 structure. The functional is PBE.

Properties
- energy relative to the elements, uncorrected (kcal/mol of atoms) = -14.7
- symmetry = No. 71

Cell lengths 4.3064, 6.1986, 8.6043 Å; angles 90.00, 90.00, 90.00 degrees
Positions (direct):
Er (0.0000, 0.0000, 0.0000)
Er (0.0000, 0.5000, 0.1995)
Er (0.0000, 0.5000, 0.8005)
Er (0.5000, 0.0000, 0.3005)
Er (0.5000, 0.0000, 0.6995)
Er (0.5000, 0.5000, 0.5000)
Si (0.0000, 0.1987, 0.5000)
Si (0.0000, 0.8013, 0.5000)
Si (0.5000, 0.3013, 0.0000)
Si (0.5000, 0.6987, 0.0000)

This record from Alexandria describes a geometry-optimized ScHg3As structure. The functional is PBE.

Properties
- symmetry = No. 221
- DFT formation energy (meV per atom) = 479

Cell lengths 5.2262, 5.2262, 5.2262 Å; angles 90.00, 90.00, 90.00 degrees
Positions (direct):
Sc (0.0000, 0.0000, 0.0000)
Hg (0.0000, 0.5000, 0.5000)
Hg (0.5000, 0.0000, 0.5000)
Hg (0.5000, 0.5000, 0.0000)
As (0.5000, 0.5000, 0.5000)

Asked for final energy across the records above, the calculation gives -5.5446, -1.8982 eV/atom in order.
Asked for DOS at the Fermi energy across the records above, the calculation gives 6.82, 6.39 states/eV per cell in order.